Below is a geometry-optimized CsPuSb structure, with properties calculated at the PBE level.

POSCAR file:
```
CsPuSb
1.0
-2.6569 -4.8392 0.9693
-5.2343 -0.7450 -1.8611
-0.9940 -3.5466 -4.2250
Sb Pu Cs
1 1 1
direct
0.7500 0.7500 0.7500 Sb
0.2500 0.2500 0.2500 Pu
0.0000 0.0000 0.0000 Cs
```

Its density is 6.65 Mg/m³. The symmetry is F-43m, No. 216. The value obtained for the magnetic moment is 6.00 Bohr magnetons per cell. The calculated total energy is -5.85 eV/atom.

***

Below is a geometry-optimized HoH2 structure, with properties calculated at the PBE level.

POSCAR file:
```
HoH2
1.0
3.1800 1.8360 5.1929
-3.1800 1.8360 5.1929
0.0000 -3.6719 5.1929
Ho H
2 4
direct
0.8750 0.8750 0.8750 Ho
0.1250 0.1250 0.1250 Ho
0.0000 0.0000 0.5000 H
0.0000 0.0000 0.0000 H
0.5000 0.0000 0.0000 H
0.0000 0.5000 0.0000 H
```

Its density is 3.05 Mg/m³. The symmetry is Fd-3m, No. 227. The value obtained for the magnetic moment is 1.55 Bohr magnetons per cell. The calculated total energy is -3.60 eV/atom.

***

Below is a geometry-optimized Tm3Mg3Zn2Pt structure, with properties calculated at the PBE level.

POSCAR file:
```
Tm3Mg3Zn2Pt
1.0
-5.2100 4.9799 1.4179
-1.3891 -7.1471 0.9715
1.3410 0.2769 3.9548
Mg Tm Zn Pt
3 3 2 1
direct
0.0000 0.2420 0.5000 Mg
0.7580 0.7580 0.5000 Mg
0.2420 0.0000 0.5000 Mg
0.5958 0.0000 0.0000 Tm
0.0000 0.5958 0.0000 Tm
0.4042 0.4042 0.0000 Tm
0.6667 0.3333 0.5000 Zn
0.3333 0.6667 0.5000 Zn
0.0000 0.0000 0.0000 Pt
```

Its density is 7.69 Mg/m³. The symmetry is P-62m, No. 189. The value obtained for the magnetic moment is 0.08 Bohr magnetons per cell. The calculated total energy is -3.44 eV/atom.

***

Below is a geometry-optimized PrCoAu structure, with properties calculated at the PBE level.

POSCAR file:
```
PrCoAu
1.0
-1.7991 -4.1749 -1.4308
-4.6039 -0.9885 0.7358
-3.0218 -0.1562 -3.6822
Co Au Pr
1 1 1
direct
0.7500 0.7500 0.7500 Co
0.2500 0.2500 0.2500 Au
0.0000 0.0000 0.0000 Pr
```

The formation energy comes out at 0.42 eV/atom. Its density is 8.61 Mg/m³. The symmetry is F-43m, No. 216. The value obtained for the magnetic moment is 1.11 Bohr magnetons per cell. The calculated total energy is -4.63 eV/atom.

***

Below is a geometry-optimized BeNbIr structure, with properties calculated at the PBE level.

POSCAR file:
```
BeNbIr
1.0
-2.1000 -2.0680 2.9527
0.6824 0.8489 4.0272
-2.9211 1.9602 2.2427
Nb Ir Be
1 1 1
direct
0.0000 0.0000 0.0000 Nb
0.7500 0.7500 0.7500 Ir
0.2500 0.2500 0.2500 Be
```

Its density is 9.51 Mg/m³. The symmetry is F-43m, No. 216. Its offset from the most stable computed form is 0.9081 eV/atom. The value obtained for the magnetic moment is 0.00 Bohr magnetons per cell. The calculated total energy is -7.18 eV/atom.

***

Below is a geometry-optimized NaPrCdS3 structure, with properties calculated at the PBE level.

POSCAR file:
```
NaPrCdS3
1.0
-1.4389 -3.2163 6.8790
3.3269 -2.4406 -0.4452
6.0009 7.7768 2.2114
Pr Cd S Na
2 2 6 2
direct
0.2049 0.2500 0.6270 Pr
0.7951 0.7500 0.3730 Pr
0.5820 0.2500 0.1081 Cd
0.4180 0.7500 0.8919 Cd
0.7477 0.7500 0.0560 S
0.9594 0.7500 0.6513 S
0.2523 0.2500 0.9440 S
0.4669 0.7500 0.6542 S
0.0406 0.2500 0.3487 S
0.5331 0.2500 0.3458 S
0.2422 0.7500 0.2479 Na
0.7578 0.2500 0.7521 Na
```

Its density is 3.94 Mg/m³. The symmetry is P2_1/m, No. 11. Its offset from the most stable computed form is 0.0470 eV/atom. The value obtained for the magnetic moment is 0.00 Bohr magnetons per cell. The calculated total energy is -4.51 eV/atom.

***

Below is a geometry-optimized Ho3CuTe5 structure, with properties calculated at the PBE level.

POSCAR file:
```
Ho3CuTe5
1.0
8.6673 0.0000 0.0000
-4.3336 7.5061 0.0000
0.0000 0.0000 4.0970
Te Ho Cu
5 3 1
direct
0.0000 0.7123 0.0000 Te
0.2877 0.2877 0.0000 Te
0.7123 0.0000 0.0000 Te
0.3333 0.6667 0.5000 Te
0.6667 0.3333 0.5000 Te
0.7232 0.7232 0.5000 Ho
0.2768 0.0000 0.5000 Ho
0.0000 0.2768 0.5000 Ho
0.0000 0.0000 0.0000 Cu
```

Its density is 7.45 Mg/m³. The symmetry is P-62m, No. 189. Its offset from the most stable computed form is 0.0000 eV/atom. The value obtained for the magnetic moment is 0.18 Bohr magnetons per cell. The calculated total energy is -4.54 eV/atom.

***

Below is a geometry-optimized DyAlO3 structure, with properties calculated at the PBE level.

POSCAR file:
```
DyAlO3
1.0
-4.8709 -1.5571 -0.8961
-1.3593 -1.3921 -4.8133
-0.9007 -5.0104 -1.0185
O Al Dy
6 2 2
direct
0.6762 0.8238 0.2500 O
0.8238 0.2500 0.6762 O
0.2500 0.6762 0.8238 O
0.1762 0.7500 0.3238 O
0.3238 0.1762 0.7500 O
0.7500 0.3238 0.1762 O
0.5000 0.5000 0.5000 Al
0.0000 0.0000 0.0000 Al
0.7500 0.7500 0.7500 Dy
0.2500 0.2500 0.2500 Dy
```

Its density is 7.81 Mg/m³. The symmetry is R-3c, No. 167. The value obtained for the magnetic moment is 0.00 Bohr magnetons per cell. The calculated total energy is -7.94 eV/atom.

***

Below is a geometry-optimized PrSi2GeOs structure, with properties calculated at the PBE level.

POSCAR file:
```
PrSi2GeOs
1.0
-2.1511 2.1511 5.0805
2.1511 -2.1511 5.0805
2.1511 2.1511 -5.0805
Os Si Pr Ge
1 2 1 1
direct
0.3412 0.3412 0.0000 Os
0.7428 0.2428 0.5000 Si
0.2428 0.7428 0.5000 Si
0.0035 0.0035 0.0000 Pr
0.5803 0.5803 0.0000 Ge
```

Its density is 8.12 Mg/m³. The symmetry is I4mm, No. 107. The value obtained for the magnetic moment is 0.01 Bohr magnetons per cell. The calculated total energy is -6.88 eV/atom.

***

Below is a geometry-optimized CsTl2Au2 structure, with properties calculated at the PBE level.

POSCAR file:
```
CsTl2Au2
1.0
3.5547 -3.5547 0.0000
3.5547 3.5547 0.0000
-3.5547 0.0000 6.1857
Tl Cs Au
2 1 2
direct
0.2500 0.7500 0.5000 Tl
0.7500 0.2500 0.5000 Tl
0.0000 0.0000 0.0000 Cs
0.3877 0.3877 0.7754 Au
0.6123 0.6123 0.2246 Au
```

Its density is 9.94 Mg/m³. The symmetry is I4/mmm, No. 139. The calculated total energy is -2.59 eV/atom.

***

Below is a geometry-optimized HfScOs2 structure, with properties calculated at the PBE level.

POSCAR file:
```
HfScOs2
1.0
6.2176 0.0000 0.0000
0.0000 6.5106 0.0000
0.0000 0.0000 6.5313
Os Hf Sc
8 4 4
direct
0.0000 0.0000 0.7501 Os
0.5001 0.0000 0.7499 Os
0.5001 0.5000 0.7499 Os
0.0000 0.5000 0.2499 Os
0.0000 0.5000 0.7501 Os
0.4999 0.0000 0.2501 Os
0.0000 0.0000 0.2499 Os
0.4999 0.5000 0.2501 Os
0.7500 0.2500 0.0001 Hf
0.2500 0.7500 0.9999 Hf
0.2500 0.7500 0.4999 Hf
0.7500 0.2500 0.5001 Hf
0.2501 0.2500 0.4993 Sc
0.2499 0.2500 0.9993 Sc
0.7501 0.7500 0.0007 Sc
0.7499 0.7500 0.5007 Sc
```

The formation energy comes out at -0.53 eV/atom. Its density is 15.17 Mg/m³. The symmetry is Pmmn, No. 59. Its offset from the most stable computed form is 0.0293 eV/atom. The value obtained for the magnetic moment is 0.05 Bohr magnetons per cell. The calculated total energy is -10.22 eV/atom.

***

Below is a geometry-optimized DyHoPbN structure, with properties calculated at the PBE level.

POSCAR file:
```
DyHoPbN
1.0
-0.9245 0.4601 -3.3837
-2.4947 -0.2847 2.4923
0.2636 15.4351 2.0268
Ho Pb N Dy
2 2 2 2
direct
0.3333 0.6667 0.0829 Ho
0.6667 0.3333 0.9171 Ho
0.6667 0.3333 0.2493 Pb
0.3333 0.6667 0.7507 Pb
0.0000 0.0000 0.0000 N
0.0000 0.0000 0.5000 N
0.6667 0.3333 0.5836 Dy
0.3333 0.6667 0.4164 Dy
```

Its density is 10.80 Mg/m³. The symmetry is P-3m1, No. 164. The value obtained for the magnetic moment is 0.01 Bohr magnetons per cell. The calculated total energy is -6.41 eV/atom.

***

Below is a geometry-optimized LaAgPbS3 structure, with properties calculated at the PBE level.

POSCAR file:
```
LaAgPbS3
1.0
-5.1649 9.3355 8.0391
-3.3531 0.2227 -2.4129
-4.8868 -7.9218 6.0596
S Pb Ag La
12 4 4 4
direct
0.6451 0.7500 0.2395 S
0.3830 0.2500 0.1173 S
0.3549 0.2500 0.7605 S
0.6091 0.2500 0.5615 S
0.1451 0.7500 0.2605 S
0.1091 0.2500 0.9385 S
0.1170 0.7500 0.6173 S
0.8909 0.7500 0.0615 S
0.8830 0.2500 0.3827 S
0.6170 0.7500 0.8827 S
0.3909 0.7500 0.4385 S
0.8549 0.2500 0.7395 S
0.7242 0.2500 0.0438 Pb
0.2242 0.2500 0.4562 Pb
0.2758 0.7500 0.9562 Pb
0.7758 0.7500 0.5438 Pb
0.0020 0.7500 0.4120 Ag
0.5020 0.7500 0.0880 Ag
0.4980 0.2500 0.9120 Ag
0.9980 0.2500 0.5880 Ag
0.4855 0.7500 0.6732 La
0.5145 0.2500 0.3268 La
0.9855 0.7500 0.8268 La
0.0145 0.2500 0.1732 La
```

Its density is 5.95 Mg/m³. The symmetry is Pnma, No. 62. Its offset from the most stable computed form is 0.0490 eV/atom. The value obtained for the magnetic moment is 0.01 Bohr magnetons per cell. The calculated total energy is -5.02 eV/atom.

***

Below is a geometry-optimized TmHfAsO structure, with properties calculated at the PBE level.

POSCAR file:
```
TmHfAsO
1.0
4.1175 0.0000 0.0000
0.0000 4.1175 0.0000
0.0000 0.0000 8.5868
Hf As O Tm
2 2 2 2
direct
0.5000 0.5000 0.5000 Hf
0.0000 0.0000 0.5000 Hf
0.5000 0.0000 0.7009 As
0.0000 0.5000 0.2991 As
0.5000 0.5000 0.0000 O
0.0000 0.0000 0.0000 O
0.0000 0.5000 0.8891 Tm
0.5000 0.0000 0.1109 Tm
```

Its density is 10.00 Mg/m³. The symmetry is P4/nmm, No. 129. Its offset from the most stable computed form is 0.0000 eV/atom. The value obtained for the magnetic moment is 0.01 Bohr magnetons per cell. The calculated total energy is -7.91 eV/atom.

***

Below is a geometry-optimized Ba4Nd4Zn3PtO15 structure, with properties calculated at the PBE level.

POSCAR file:
```
Ba4Nd4Zn3PtO15
1.0
11.7470 0.0000 0.0000
-5.8735 10.1732 0.0000
0.0000 0.0000 6.7974
O Ba Nd Zn Pt
30 8 8 6 2
direct
0.9438 0.3373 0.3034 O
0.9162 0.8325 0.0620 O
0.6065 0.9438 0.8034 O
0.0838 0.1675 0.5620 O
0.1662 0.5831 0.1558 O
0.3373 0.3935 0.8034 O
0.5831 0.4169 0.6558 O
0.3935 0.0562 0.3034 O
0.3935 0.3373 0.3034 O
0.6065 0.6627 0.8034 O
0.6627 0.0562 0.3034 O
0.4169 0.5831 0.1558 O
0.3373 0.9438 0.8034 O
0.1675 0.0838 0.0620 O
0.4169 0.8338 0.1558 O
0.4986 0.7493 0.4906 O
0.7493 0.4986 0.9906 O
0.6627 0.6065 0.3034 O
0.0562 0.6627 0.8034 O
0.2507 0.5014 0.4906 O
0.9162 0.0838 0.0620 O
0.0562 0.3935 0.8034 O
0.2507 0.7493 0.4906 O
0.9438 0.6065 0.3034 O
0.7493 0.2507 0.9906 O
0.5831 0.1662 0.6558 O
0.0838 0.9162 0.5620 O
0.8338 0.4169 0.6558 O
0.5014 0.2507 0.9906 O
0.8325 0.9162 0.5620 O
0.6667 0.3333 0.3401 Ba
0.1722 0.8278 0.1576 Ba
0.6556 0.8278 0.1576 Ba
0.1722 0.3444 0.1576 Ba
0.3333 0.6667 0.8401 Ba
0.8278 0.6556 0.6576 Ba
0.8278 0.1722 0.6576 Ba
0.3444 0.1722 0.6576 Ba
0.4768 0.5232 0.5041 Nd
0.5232 0.0465 0.0041 Nd
0.4768 0.9535 0.5041 Nd
0.0000 0.0000 0.3300 Nd
0.9535 0.4768 0.0041 Nd
0.0000 0.0000 0.8300 Nd
0.5232 0.4768 0.0041 Nd
0.0465 0.5232 0.5041 Nd
0.1707 0.3413 0.6751 Zn
0.8293 0.6587 0.1751 Zn
0.1707 0.8293 0.6751 Zn
0.3413 0.1707 0.1751 Zn
0.8293 0.1707 0.1751 Zn
0.6587 0.8293 0.6751 Zn
0.3333 0.6667 0.3171 Pt
0.6667 0.3333 0.8171 Pt
```

Its density is 7.19 Mg/m³. The symmetry is P6_3mc, No. 186. The value obtained for the magnetic moment is 0.02 Bohr magnetons per cell. The calculated total energy is -6.52 eV/atom.

***

Below is a geometry-optimized YMgTlFe structure, with properties calculated at the PBE level.

POSCAR file:
```
YMgTlFe
1.0
0.0000 3.4574 3.4574
3.4574 0.0000 3.4574
3.4574 3.4574 0.0000
Fe Tl Y Mg
1 1 1 1
direct
0.7500 0.7500 0.7500 Fe
0.0000 0.0000 0.0000 Tl
0.5000 0.5000 0.5000 Y
0.2500 0.2500 0.2500 Mg
```

Its density is 7.50 Mg/m³. The symmetry is F-43m, No. 216. Its offset from the most stable computed form is 0.0317 eV/atom. The value obtained for the magnetic moment is 2.09 Bohr magnetons per cell. The calculated total energy is -4.49 eV/atom.

***

Below is a geometry-optimized Ge2PdS structure, with properties calculated at the PBE level.

POSCAR file:
```
Ge2PdS
1.0
-0.4821 -3.3950 -0.2134
5.2569 -0.4840 -4.1769
3.7899 -0.8441 4.8677
S Ge Pd
2 4 2
direct
0.5000 0.5156 0.9866 S
0.5000 0.4844 0.4866 S
0.5000 0.1774 0.2675 Ge
0.5000 0.8226 0.7675 Ge
0.0000 0.3167 0.7400 Ge
0.0000 0.6833 0.2400 Ge
0.0000 0.0105 0.0059 Pd
0.0000 0.9895 0.5059 Pd
```

Its density is 6.54 Mg/m³. The symmetry is Pmc2_1, No. 26. The calculated total energy is -4.75 eV/atom.

***

Below is a geometry-optimized KPmFe structure, with properties calculated at the PBE level.

POSCAR file:
```
KPmFe
1.0
0.6786 -4.4672 2.4082
1.3594 -0.0669 4.9360
-3.3512 -1.5254 3.5579
Pm K Fe
1 1 1
direct
0.0000 0.0000 0.0000 Pm
0.7500 0.7500 0.7500 K
0.2500 0.2500 0.2500 Fe
```

Its density is 4.20 Mg/m³. The symmetry is F-43m, No. 216. Its offset from the most stable computed form is 0.0000 eV/atom. The value obtained for the magnetic moment is 1.69 Bohr magnetons per cell. The calculated total energy is -3.36 eV/atom.

***

Below is a geometry-optimized Ba2LaTaZn2O8 structure, with properties calculated at the PBE level.

POSCAR file:
```
Ba2LaTaZn2O8
1.0
-1.0279 3.8925 0.2899
-2.0810 -0.2930 -3.4461
-9.6842 -3.0120 6.1042
Zn O La Ta Ba
2 8 1 1 2
direct
0.5000 0.5000 0.6558 Zn
0.5000 0.5000 0.3442 Zn
0.5000 0.5000 0.1659 O
0.5000 0.5000 0.8341 O
0.0000 0.5000 0.6298 O
0.5000 0.0000 0.6298 O
0.0000 0.5000 0.3702 O
0.5000 0.0000 0.3702 O
0.0000 0.5000 0.0000 O
0.5000 0.0000 0.0000 O
0.0000 0.0000 0.5000 La
0.5000 0.5000 0.0000 Ta
0.0000 0.0000 0.8028 Ba
0.0000 0.0000 0.1972 Ba
```

Its density is 7.35 Mg/m³. The symmetry is P4/mmm, No. 123. The value obtained for the magnetic moment is 0.00 Bohr magnetons per cell. The calculated total energy is -7.05 eV/atom.

***

Below is a geometry-optimized Li2Gd2O5 structure, with properties calculated at the PBE level.

POSCAR file:
```
Li2Gd2O5
1.0
6.9448 0.0000 0.0000
0.0000 3.6942 0.0000
0.0000 0.0000 3.6942
O Li Gd
5 2 2
direct
0.7871 0.0000 0.5000 O
0.2129 0.5000 0.0000 O
0.5000 0.5000 0.5000 O
0.7871 0.5000 0.0000 O
0.2129 0.0000 0.5000 O
0.2437 0.5000 0.5000 Li
0.7563 0.5000 0.5000 Li
0.0000 0.0000 0.0000 Gd
0.5000 0.0000 0.0000 Gd
```

Its density is 7.16 Mg/m³. The symmetry is P4/mmm, No. 123. Its offset from the most stable computed form is 0.0000 eV/atom. The value obtained for the magnetic moment is 2.00 Bohr magnetons per cell. The calculated total energy is -6.45 eV/atom.

***

Below is a geometry-optimized Pr3Mg3Zn2Ga structure, with properties calculated at the PBE level.

POSCAR file:
```
Pr3Mg3Zn2Ga
1.0
-2.2683 1.3441 6.9692
-4.9862 -1.6291 -5.2921
0.4074 -4.4916 0.9988
Mg Zn Pr Ga
3 2 3 1
direct
0.0000 0.2405 0.5000 Mg
0.7595 0.7595 0.5000 Mg
0.2405 0.0000 0.5000 Mg
0.3333 0.6667 0.5000 Zn
0.6667 0.3333 0.5000 Zn
0.5793 0.0000 0.0000 Pr
0.0000 0.5793 0.0000 Pr
0.4207 0.4207 0.0000 Pr
0.0000 0.0000 0.0000 Ga
```

Its density is 5.20 Mg/m³. The symmetry is P-62m, No. 189. The value obtained for the magnetic moment is 0.01 Bohr magnetons per cell. The calculated total energy is -3.04 eV/atom.

***

Below is a geometry-optimized LaGa2Cu2Pt structure, with properties calculated at the PBE level.

POSCAR file:
```
LaGa2Cu2Pt
1.0
2.7188 -4.8210 0.0000
2.7188 4.8210 0.0000
0.0000 0.0000 4.0256
Ga Cu Pt La
2 2 1 1
direct
0.3268 0.6732 0.0000 Ga
0.6732 0.3268 0.0000 Ga
0.5000 0.0000 0.5000 Cu
0.0000 0.5000 0.5000 Cu
0.5000 0.5000 0.5000 Pt
0.0000 0.0000 0.0000 La
```

Its density is 9.45 Mg/m³. The symmetry is Cmmm, No. 65. The value obtained for the magnetic moment is 0.00 Bohr magnetons per cell. The calculated total energy is -4.61 eV/atom.